Record 1
An optimized crystal structure of LaTbGaRh, computed with PBE-GGA.

Properties
Crystal system: cubic
Total moment, μB/cell: 0.00
E_form, eV per formula unit: -2.3
D(E_F), states/eV/cell: 3.81

CIF file:
```
data_LaTbGaRh
_chemical_formula_sum 'La1 Tb1 Ga1 Rh1'
_space_group_name_H-M_alt 'P 1'
_space_group_IT_number 1
_cell_length_a 5.1037
_cell_length_b 5.1037
_cell_length_c 5.1037
_cell_angle_alpha 60.00
_cell_angle_beta 60.00
_cell_angle_gamma 60.00
loop_
_space_group_symop_operation_xyz
'x,y,z'
loop_
_atom_site_label
_atom_site_type_symbol
_atom_site_fract_x
_atom_site_fract_y
_atom_site_fract_z
La1 La 0.0000 0.0000 0.0000
Tb1 Tb 0.5000 0.5000 0.5000
Ga1 Ga 0.7500 0.7500 0.7500
Rh1 Rh 0.2500 0.2500 0.2500
```

---

Record 2
An optimized crystal structure of CaZnSbTe2, computed with PBE-GGA.

Properties
E_form (uncorrected), eV per atom: -0.15
Crystal system: tetragonal
Total moment, μB/cell: 0.00
D(E_F), states/eV/cell: 4.28

CIF file:
```
data_CaZnSbTe2
_chemical_formula_sum 'Ca1 Zn1 Sb1 Te2'
_space_group_name_H-M_alt 'P 1'
_space_group_IT_number 1
_cell_length_a 5.6093
_cell_length_b 5.6093
_cell_length_c 4.9840
_cell_angle_alpha 90.00
_cell_angle_beta 90.00
_cell_angle_gamma 90.00
loop_
_space_group_symop_operation_xyz
'x,y,z'
loop_
_atom_site_label
_atom_site_type_symbol
_atom_site_fract_x
_atom_site_fract_y
_atom_site_fract_z
Ca1 Ca 0.0000 0.0000 0.0000
Zn1 Zn 0.5000 0.5000 0.5000
Sb1 Sb 0.5000 0.5000 0.0000
Te1 Te 0.0000 0.5000 0.5000
Te2 Te 0.5000 0.0000 0.5000
```

---

Record 3
An optimized crystal structure of La2ZrTl3Se6, computed with PBE-GGA.

Properties
E_form (uncorrected), eV per atom: -1.26
Crystal system: monoclinic
Total moment, μB/cell: 0.96
D(E_F), states/eV/cell: 5.68

CIF file:
```
data_La2ZrTl3Se6
_chemical_formula_sum 'La2 Zr1 Tl3 Se6'
_space_group_name_H-M_alt 'P 1'
_space_group_IT_number 1
_cell_length_a 7.3438
_cell_length_b 7.3438
_cell_length_c 8.1685
_cell_angle_alpha 98.66
_cell_angle_beta 98.66
_cell_angle_gamma 120.00
loop_
_space_group_symop_operation_xyz
'x,y,z'
loop_
_atom_site_label
_atom_site_type_symbol
_atom_site_fract_x
_atom_site_fract_y
_atom_site_fract_z
La1 La 0.1653 0.8347 0.0000
La2 La 0.8347 0.1653 0.0000
Zr1 Zr 0.5000 0.5000 0.0000
Tl1 Tl 0.0000 0.0000 0.5000
Tl2 Tl 0.3280 0.6720 0.5000
Tl3 Tl 0.6720 0.3280 0.5000
Se1 Se 0.1231 0.4318 0.7934
Se2 Se 0.2634 0.2634 0.2145
Se3 Se 0.4318 0.1231 0.7934
Se4 Se 0.5682 0.8769 0.2066
Se5 Se 0.7366 0.7366 0.7855
Se6 Se 0.8769 0.5682 0.2066
```

---

Record 4
An optimized crystal structure of Li2CaOs, computed with PBE-GGA.

Properties
Crystal system: monoclinic
Total moment, μB/cell: 0.00
E_form, eV per formula unit: 1.3
D(E_F), states/eV/cell: 2.06

CIF file:
```
data_Li2CaOs
_chemical_formula_sum 'Li2 Ca1 Os1'
_space_group_name_H-M_alt 'P 1'
_space_group_IT_number 1
_cell_length_a 2.6623
_cell_length_b 4.8279
_cell_length_c 5.4877
_cell_angle_alpha 90.00
_cell_angle_beta 92.94
_cell_angle_gamma 90.00
loop_
_space_group_symop_operation_xyz
'x,y,z'
loop_
_atom_site_label
_atom_site_type_symbol
_atom_site_fract_x
_atom_site_fract_y
_atom_site_fract_z
Li1 Li 0.2033 0.0000 0.1936
Li2 Li 0.7967 0.0000 0.8064
Ca1 Ca 0.0000 0.5000 0.5000
Os1 Os 0.5000 0.5000 0.0000
```

---

Record 5
An optimized crystal structure of CdPOF2, computed with PBE-GGA.

Properties
E_form (uncorrected), eV per atom: -0.35
Crystal system: tetragonal
Total moment, μB/cell: 1.02
D(E_F), states/eV/cell: 2.70

CIF file:
```
data_CdPOF2
_chemical_formula_sum 'Cd1 P1 O1 F2'
_space_group_name_H-M_alt 'P 1'
_space_group_IT_number 1
_cell_length_a 4.2633
_cell_length_b 4.2633
_cell_length_c 4.5023
_cell_angle_alpha 90.00
_cell_angle_beta 90.00
_cell_angle_gamma 90.00
loop_
_space_group_symop_operation_xyz
'x,y,z'
loop_
_atom_site_label
_atom_site_type_symbol
_atom_site_fract_x
_atom_site_fract_y
_atom_site_fract_z
Cd1 Cd 0.0000 0.0000 0.0000
P1 P 0.5000 0.5000 0.5000
O1 O 0.0000 0.0000 0.5000
F1 F 0.0000 0.5000 0.0000
F2 F 0.5000 0.0000 0.0000
```

---

Record 6
An optimized crystal structure of Tl2Cu2Sb, computed with PBE-GGA.

Properties
E_form (uncorrected), eV per atom: 0.38
Crystal system: tetragonal
Total moment, μB/cell: 0.00
D(E_F), states/eV/cell: 4.42

CIF file:
```
data_Tl2Cu2Sb
_chemical_formula_sum 'Tl4 Cu4 Sb2'
_space_group_name_H-M_alt 'P 1'
_space_group_IT_number 1
_cell_length_a 8.3962
_cell_length_b 8.3962
_cell_length_c 3.1600
_cell_angle_alpha 90.00
_cell_angle_beta 90.00
_cell_angle_gamma 90.00
loop_
_space_group_symop_operation_xyz
'x,y,z'
loop_
_atom_site_label
_atom_site_type_symbol
_atom_site_fract_x
_atom_site_fract_y
_atom_site_fract_z
Tl1 Tl 0.1810 0.3190 0.0000
Tl2 Tl 0.3190 0.8190 0.0000
Tl3 Tl 0.6810 0.1810 0.0000
Tl4 Tl 0.8190 0.6810 0.0000
Cu1 Cu 0.1055 0.6055 0.5000
Cu2 Cu 0.3945 0.1055 0.5000
Cu3 Cu 0.6055 0.8945 0.5000
Cu4 Cu 0.8945 0.3945 0.5000
Sb1 Sb 0.0000 0.0000 0.0000
Sb2 Sb 0.5000 0.5000 0.0000
```